(1)
The following is a DFT calculation (PBE+U) of RbWO3 after structural relaxation.

VASP energy in eV for the cell shown: -64.99
Crystal system: monoclinic

Cell lengths 10.9287, 10.9287, 3.9671 Å; angles 99.80, 99.80, 21.62 degrees
Last column: nearest neighbours and their distance in Å.
Sites, in units of the cell vectors:
Rb 0.0842 0.0842 0.3325  6 O 2.84-3.08
Rb 0.9158 0.9158 0.6675  6 O 2.84-3.08
W 0.3103 0.3103 0.0380  5 O 1.88-2.08
W 0.6897 0.6897 0.9620  5 O 1.88-2.08
O 0.2069 0.2069 0.9720  3 W 2.08-2.19
O 0.3070 0.3070 0.5487  2 W 1.93-2.04
O 0.3989 0.3989 0.1646  1 W 1.88
O 0.6011 0.6011 0.8354  1 W 1.88
O 0.6930 0.6930 0.4513  2 W 1.93-2.04
O 0.7931 0.7931 0.0280  3 W 2.08-2.19

---

(2)
The following is a DFT calculation (PBE+U) of Rb2W2O after structural relaxation.

Crystal system: tetragonal
Polymorph energy (0 for the lowest one) in eV/atom: 0.000

Cell lengths 10.8742, 10.8742, 10.8742 Å; angles 160.37, 160.37, 27.90 degrees
Last column: nearest neighbours and their distance in Å.
Sites, in units of the cell vectors:
Rb 0.0763 0.0763 0.0000  4 O 3.08, 1 Rb 3.22
Rb 0.9237 0.9237 0.0000  4 O 3.08, 1 Rb 3.22
W 0.2500 0.7500 0.5000  4 W 2.62
W 0.7500 0.2500 0.5000  4 W 2.62
O 0.5000 0.5000 0.0000  8 Rb 3.08

---

(3)
The following is a DFT calculation (PBE+U) of RbW2O7 after structural relaxation.

VASP energy in eV for the cell shown: -67.51
Crystal system: orthorhombic

Cell lengths 6.1565, 6.1565, 3.9054 Å; angles 90.00, 90.00, 117.63 degrees
Last column: nearest neighbours and their distance in Å.
Sites, in units of the cell vectors:
Rb 0.0000 0.0000 0.0000  8 O 2.80
W 0.3127 0.6873 0.5000  7 O 1.95-2.04
W 0.6873 0.3127 0.5000  7 O 1.95-2.04
O 0.0312 0.3402 0.5000  2 W 2.03-2.04, 1 O 2.17
O 0.3116 0.6884 0.0000  2 W 1.95
O 0.3402 0.0312 0.5000  2 W 2.03-2.04, 1 O 2.17
O 0.5000 0.5000 0.5000  2 W 1.97
O 0.6598 0.9688 0.5000  2 W 2.03-2.04, 1 O 2.17
O 0.6884 0.3116 0.0000  2 W 1.95
O 0.9688 0.6598 0.5000  2 W 2.03-2.04, 1 O 2.17

---

(4)
The following is a DFT calculation (PBE+U) of RbWO4 after structural relaxation.

VASP energy in eV for the cell shown: -76.21
Crystal system: monoclinic

Cell lengths 7.7911, 7.7911, 5.4777 Å; angles 109.38, 109.38, 40.95 degrees
Last column: nearest neighbours and their distance in Å.
Sites, in units of the cell vectors:
Rb 0.0000 0.0000 0.0000  8 O 2.97-3.24
Rb 0.5034 0.4966 0.5000  8 O 3.01-3.35
W 0.2293 0.2482 0.7351  6 O 1.81-1.99
W 0.7518 0.7707 0.2649  6 O 1.81-1.99
O 0.0293 0.4640 0.0365  2 W 1.97-1.99
O 0.1137 0.0987 0.6267  1 W 1.81
O 0.3970 0.3678 0.9252  1 W 1.99
O 0.4562 0.0418 0.4589  2 W 1.92-1.97
O 0.5360 0.9707 0.9635  2 W 1.97-1.99
O 0.6322 0.6030 0.0748  1 W 1.99
O 0.9013 0.8863 0.3733  1 W 1.81
O 0.9582 0.5438 0.5411  2 W 1.92-1.97

---

(5)
The following is a DFT calculation (PBE+U) of RbWO2 after structural relaxation.

Crystal system: trigonal
Polymorph energy (0 for the lowest one) in eV/atom: 0.000

Cell lengths 7.2407, 7.2407, 7.2407 Å; angles 27.42, 27.42, 27.42 degrees
Last column: nearest neighbours and their distance in Å.
Sites, in units of the cell vectors:
Rb 0.0000 0.0000 0.0000  2 O 2.55
W 0.5000 0.5000 0.5000  6 O 2.19
O 0.1219 0.1219 0.1219  3 W 2.19
O 0.8781 0.8781 0.8781  3 W 2.19

---

(6)
The following is a DFT calculation (PBE+U) of RbYW2O8 after structural relaxation.

VASP energy in eV for the cell shown: -181.11
Crystal system: monoclinic

Cell lengths 7.6914, 7.6914, 7.5019 Å; angles 117.70, 117.70, 88.34 degrees
Last column: nearest neighbours and their distance in Å.
Sites, in units of the cell vectors:
Rb 0.2045 0.7955 0.7500  10 O 2.90-3.05
Rb 0.7955 0.2045 0.2500  10 O 2.90-3.05
Y 0.2238 0.7762 0.2500  6 O 2.28-2.32
Y 0.7762 0.2238 0.7500  6 O 2.28-2.32
W 0.3004 0.3100 0.2862  4 O 1.84-2.04
W 0.3100 0.3004 0.7862  4 O 1.84-2.04
W 0.6900 0.6996 0.2138  4 O 1.84-2.04
W 0.6996 0.6900 0.7138  4 O 1.84-2.04
O 0.0445 0.2318 0.6982  1 W 1.84
O 0.0560 0.3596 0.1231  1 W 1.85
O 0.2318 0.0445 0.1982  1 W 1.84
O 0.2501 0.3758 0.5604  2 W 1.90-2.10
O 0.3596 0.0560 0.6231  1 W 1.85
O 0.3744 0.5945 0.0372  2 W 2.04-2.11
O 0.3758 0.2501 0.0604  2 W 1.90-2.10
O 0.4055 0.6256 0.4628  2 W 2.04-2.11
O 0.5945 0.3744 0.5372  2 W 2.04-2.11
O 0.6242 0.7499 0.9396  2 W 1.90-2.10
O 0.6256 0.4055 0.9628  2 W 2.04-2.11
O 0.6404 0.9440 0.3769  1 W 1.85
O 0.7499 0.6242 0.4396  2 W 1.90-2.10
O 0.7682 0.9555 0.8018  1 W 1.84
O 0.9440 0.6404 0.8769  1 W 1.85
O 0.9555 0.7682 0.3018  1 W 1.84

---

(7)
The following is a DFT calculation (PBE+U) of Rb2YWO6 after structural relaxation.

VASP energy in eV for the cell shown: -65.98
Crystal system: trigonal

Cell lengths 6.6089, 6.6089, 5.9101 Å; angles 90.00, 90.00, 120.00 degrees
Last column: nearest neighbours and their distance in Å.
Sites, in units of the cell vectors:
Rb 0.3333 0.6667 0.4012  3 O 2.91
Rb 0.6667 0.3333 0.5988  3 O 2.91
Y 0.0000 0.0000 0.0000  6 O 2.31
W 0.0000 0.0000 0.5000  6 O 1.96
O 0.1336 0.2672 0.7070  1 W 1.96
O 0.1336 0.8664 0.7070  1 W 1.96
O 0.2672 0.1336 0.2930  1 W 1.96
O 0.7328 0.8664 0.7070  1 W 1.96
O 0.8664 0.1336 0.2930  1 W 1.96
O 0.8664 0.7328 0.2930  1 W 1.96

---

(8)
The following is a DFT calculation (PBE+U) of Rb2ZrW3O12 after structural relaxation.

VASP energy in eV for the cell shown: -132.91
Crystal system: trigonal

Cell lengths 7.5286, 7.5286, 7.5286 Å; angles 59.17, 59.17, 59.17 degrees
Last column: nearest neighbours and their distance in Å.
Sites, in units of the cell vectors:
Rb 0.1321 0.1321 0.1321  6 O 3.19-3.44
Rb 0.8679 0.8679 0.8679  6 O 3.19-3.44
Zr 0.5000 0.5000 0.5000  6 O 2.11
W 0.0000 0.5000 0.5000  6 O 1.91-1.96
W 0.5000 0.0000 0.5000  6 O 1.91-1.96
W 0.5000 0.5000 0.0000  6 O 1.91-1.96
O 0.1677 0.5668 0.5668  1 W 1.91, 1 Zr 2.11
O 0.1924 0.1924 0.5633  2 W 1.96
O 0.1924 0.5633 0.1924  2 W 1.96
O 0.4332 0.4332 0.8323  1 W 1.91, 1 Zr 2.11
O 0.4332 0.8323 0.4332  1 W 1.91, 1 Zr 2.11
O 0.4367 0.8076 0.8076  2 W 1.96
O 0.5633 0.1924 0.1924  2 W 1.96
O 0.5668 0.1677 0.5668  1 W 1.91, 1 Zr 2.11
O 0.5668 0.5668 0.1677  1 W 1.91, 1 Zr 2.11
O 0.8076 0.4367 0.8076  2 W 1.96
O 0.8076 0.8076 0.4367  2 W 1.96
O 0.8323 0.4332 0.4332  1 W 1.91, 1 Zr 2.11

---

(9)
The following is a DFT calculation (PBE+U) of RbZrWO6 after structural relaxation.

VASP energy in eV for the cell shown: -133.40
Crystal system: orthorhombic

Cell lengths 7.6098, 7.6098, 7.6098 Å; angles 120.87, 119.56, 89.63 degrees
Last column: nearest neighbours and their distance in Å.
Sites, in units of the cell vectors:
Rb 0.3784 0.1284 0.2500  6 O 3.18-3.54
Rb 0.6216 0.8716 0.7500  6 O 3.18-3.54
Zr 0.0000 0.5000 0.5000  6 O 2.09-2.12
Zr 0.5000 0.5000 0.0000  6 O 2.09-2.12
W 0.0000 0.0000 0.5000  6 O 1.93-1.96
W 0.0000 0.5000 0.0000  6 O 1.93-1.96
O 0.0508 0.8008 0.2500  2 W 1.96
O 0.0557 0.4274 0.2271  1 W 1.93, 1 Zr 2.12
O 0.0557 0.8286 0.6283  1 W 1.93, 1 Zr 2.12
O 0.2997 0.1714 0.7271  1 W 1.93, 1 Zr 2.12
O 0.2997 0.5726 0.1283  1 W 1.93, 1 Zr 2.12
O 0.3267 0.5767 0.7500  2 Zr 2.09
O 0.6733 0.4233 0.2500  2 Zr 2.09
O 0.7003 0.4274 0.8717  1 W 1.93, 1 Zr 2.12
O 0.7003 0.8286 0.2729  1 W 1.93, 1 Zr 2.12
O 0.9443 0.1714 0.3717  1 W 1.93, 1 Zr 2.12
O 0.9443 0.5726 0.7729  1 W 1.93, 1 Zr 2.12
O 0.9492 0.1992 0.7500  2 W 1.96

---

Question: What is the formula in the fourth record?
Answer: RbWO4